No. 1
First-principles (PBE) data for a relaxed MnCd2In crystal, as listed in Alexandria.

Results
* uncorrected energy: -3.261 eV/atom
* ΔE_f: 0.17 eV/atom

Cell lengths 4.2422, 4.2422, 4.4529 Å; angles 90.00, 90.00, 90.00 degrees
Element x y z (fractional)
Mn1 0.0000 0.0000 0.0000
Cd1 0.0000 0.5000 0.5000
Cd2 0.5000 0.0000 0.5000
In1 0.5000 0.5000 0.0000


No. 2
First-principles (PBE) data for a relaxed CrHgAu3 crystal, as listed in Alexandria.

Results
* uncorrected energy: -2.999 eV/atom
* ΔE_f: 0.95 eV/atom
* energy above the most stable polymorph in this dataset: 0.0 meV/atom

Cell lengths 4.8837, 4.8837, 4.8837 Å; angles 90.00, 90.00, 90.00 degrees
Element x y z (fractional)
Cr1 0.0000 0.0000 0.0000
Hg1 0.5000 0.5000 0.5000
Au1 0.0000 0.0000 0.5000
Au2 0.0000 0.5000 0.0000
Au3 0.5000 0.0000 0.0000


No. 3
First-principles (PBE) data for a relaxed NaTbSnPd crystal, as listed in Alexandria.

Results
* uncorrected energy: -4.216 eV/atom
* ΔE_f: -0.43 eV/atom

Cell lengths 5.0722, 5.0722, 5.0722 Å; angles 60.00, 60.00, 60.00 degrees
Element x y z (fractional)
Na1 0.0000 0.0000 0.0000
Tb1 0.5000 0.5000 0.5000
Sn1 0.7500 0.7500 0.7500
Pd1 0.2500 0.2500 0.2500


No. 4
First-principles (PBE) data for a relaxed HfNiS3 crystal, as listed in Alexandria.

Results
* uncorrected energy: -5.772 eV/atom
* energy above the most stable polymorph in this dataset: 0.0 meV/atom
* energy relative to the elements, uncorrected: -149 meV per atom

Cell lengths 4.3643, 4.3643, 4.3643 Å; angles 90.00, 90.00, 90.00 degrees
Element x y z (fractional)
Hf1 0.0000 0.0000 0.0000
Ni1 0.5000 0.5000 0.5000
S1 0.0000 0.5000 0.5000
S2 0.5000 0.0000 0.5000
S3 0.5000 0.5000 0.0000


No. 5
First-principles (PBE) data for a relaxed Hg3BiH2Pd9 crystal, as listed in Alexandria.

Results
* uncorrected energy: -4.000 eV/atom

Cell lengths 5.7283, 5.7283, 9.0282 Å; angles 90.00, 90.00, 120.00 degrees
Element x y z (fractional)
Hg1 0.0000 0.0000 0.0000
Hg2 0.3333 0.6667 0.7188
Hg3 0.6667 0.3333 0.2812
Bi1 0.0000 0.0000 0.5000
H1 0.3333 0.6667 0.1171
H2 0.6667 0.3333 0.8829
Pd1 0.0000 0.5000 0.0000
Pd2 0.1687 0.3374 0.2632
Pd3 0.1687 0.8313 0.2632
Pd4 0.3374 0.1687 0.7368
Pd5 0.5000 0.0000 0.0000
Pd6 0.5000 0.5000 0.0000
Pd7 0.6626 0.8313 0.2632
Pd8 0.8313 0.1687 0.7368
Pd9 0.8313 0.6626 0.7368


No. 6
First-principles (PBE) data for a relaxed Pa2CuAu crystal, as listed in Alexandria.

Results
* uncorrected energy: -6.525 eV/atom
* ΔE_f: 0.07 eV/atom
* energy above the most stable polymorph in this dataset: 152.5 meV/atom

Cell lengths 4.9891, 4.9891, 4.9891 Å; angles 60.00, 60.00, 60.00 degrees
Element x y z (fractional)
Pa1 0.2500 0.2500 0.2500
Pa2 0.7500 0.7500 0.7500
Cu1 0.0000 0.0000 0.0000
Au1 0.5000 0.5000 0.5000


Taking the records one at a time from the top gives theoretical density values of 8.2, 12.0, 7.3, 6.7, 11.5, 13.7 g/cm3.
Taking the records one at a time from the top gives magnetic moment values of 3.384, 0.001, 0.000, 0.000, 0.000, 1.760 Bohr magnetons per cell.